1.
9
Lattice="-3.362 -1.561 -1.767 2.394 -3.189 -1.738 -1.813 -0.530 3.918" Properties=species:S:1:pos:R:3 comment="TbCo2H6 (PBE, relaxed)" dos_ef_per_ev_cell=3.40 total_energy_ev_per_atom=-4.656 pbc="T T T"
Co -0.690 -3.083 -0.737
Co -2.092 -2.197 1.149
H -1.345 -2.775 -2.206
H -2.252 -3.040 -0.247
H -1.727 -0.646 1.528
H 0.377 -1.975 -1.300
H -0.530 -2.241 0.659
H -3.449 -1.446 0.623
Tb 0.000 0.000 0.000

2.
6
Lattice="2.443 -4.529 -0.082 -1.272 -3.547 -3.506 3.246 -1.104 -3.839" Properties=species:S:1:pos:R:3 comment="BaAlCr4 (PBE, relaxed)" dos_ef_per_ev_cell=8.83 total_energy_ev_per_atom=-6.463 e_form_ev_per_fu=5.38 pbc="T T T"
Cr 3.279 -3.995 -4.703
Cr 2.878 -5.706 -2.827
Cr 1.657 -3.444 -2.786
Cr 1.022 -5.216 -4.537
Al 3.313 -6.885 -5.570
Ba 0.000 0.000 0.000

3.
5
Lattice="-2.654 2.687 3.498 -0.204 -3.459 2.502 4.405 1.387 2.276" Properties=species:S:1:pos:R:3 comment="Cr2IrSCl (PBE, relaxed)" dos_ef_per_ev_cell=5.35 total_energy_ev_per_atom=-6.353 raw_formation_energy_ev_per_atom=0.463 pbc="T T T"
S -0.102 -1.730 1.251
Cr 2.202 0.694 1.138
Cr -1.327 1.344 1.749
Ir 0.000 0.000 0.000
Cl 0.773 0.308 4.139

4.
19
Lattice="-2.671 -6.013 4.028 6.053 -0.722 4.728 -2.923 4.040 5.886" Properties=species:S:1:pos:R:3 comment="BaLi17Pr (PBE, relaxed)" dos_ef_per_ev_cell=13.59 total_energy_ev_per_atom=-2.011 e_form_ev_per_fu=1.03 pbc="T T T"
Ba 0.296 -1.740 9.455
Li -2.671 -3.080 4.584
Li 1.745 -3.744 6.554
Li -0.162 -4.411 4.260
Li -2.777 1.106 5.357
Li 3.361 -1.298 7.478
Li 1.620 1.236 7.474
Li -0.338 2.585 5.553
Li -1.329 -3.000 2.033
Li 0.046 -0.268 1.458
Li 0.417 -2.446 13.290
Li 3.016 -0.365 2.382
Li -1.392 1.224 8.091
Li -1.258 -4.099 7.107
Li -1.455 2.007 2.959
Li -2.701 -1.385 7.127
Li 3.399 0.602 5.071
Li 3.470 -2.208 4.552
Pr 0.158 -0.925 5.026